Ba5Sr, optimized geometry, DFT PBEsol; ΔH_f (0 K) = 0.013 eV/atom; V = 57.2 Å³ per atom; M_tot = 0.000 μB/f.u.; crystal system = monoclinic; offset from the most stable computed form = 0.02 eV/f.u.; Fermi-level density of states = 9.48 states/eV/f.u.
1.0
8.019 -2.155 0.000
8.019 2.155 0.000
-2.762 0.000 9.926
Ba Sr
5 1
direct
0.000 0.000 0.000
0.055 0.055 0.608
0.334 0.334 0.664
0.669 0.669 0.332
0.725 0.725 0.946
0.390 0.390 0.277